Entry 1:
VASP calculation (GGA-PBE) on a relaxed structure of K2ErGaBr6.

Properties
- Symmetry: R3
- ΔE_f (raw): -1.57 eV/atom
- Crystal system: trigonal
- D(E_F): 0.000 states/eV/cell

a = 8.1872 Å, b = 8.1872 Å, c = 8.1872 Å
α = 58.31°, β = 58.31°, γ = 58.31°
With the nearest neighbours (Å) after each atom.
Fractional coordinates of all 10 atoms:
K: 0.0000 0.0000 0.0000  6 Br 3.31-3.42
K: 0.4910 0.4910 0.4910  6 Br 3.33-3.45
Er: 0.7046 0.7046 0.7046  6 Br 2.78-2.81
Ga: 0.2124 0.2124 0.2124  6 Br 3.06-3.25
Br: 0.0361 0.4627 0.8397  1 Er 2.78
Br: 0.3667 0.9220 0.5730  1 Er 2.81, 1 Ga 3.06
Br: 0.4627 0.8397 0.0361  1 Er 2.78
Br: 0.5730 0.3667 0.9220  1 Er 2.81, 1 Ga 3.06
Br: 0.8397 0.0361 0.4627  1 Er 2.78
Br: 0.9220 0.5730 0.3667  1 Er 2.81, 1 Ga 3.06



Entry 2:
VASP calculation (GGA-PBE) on a relaxed structure of Ac2B4Os3.

Properties
- Symmetry: Fmmm
- Crystal system: orthorhombic
- D(E_F): 7.657 states/eV/cell
- Energy relative to the elements: 0.1616 eV per atom

a = 7.5637 Å, b = 6.4560 Å, c = 5.6601 Å
α = 76.95°, β = 56.25°, γ = 46.80°
With the nearest neighbours (Å) after each atom.
Fractional coordinates of all 9 atoms:
Ac: 0.1555 0.1555 0.8445  8 B 3.12-3.34, 6 Os 3.35-3.39
Ac: 0.8445 0.8445 0.1555  8 B 3.12-3.34, 6 Os 3.35-3.39
B: 0.2158 0.5535 0.4465  3 Os 2.11-2.12
B: 0.4465 0.7842 0.2158  3 Os 2.11-2.12
B: 0.5535 0.2158 0.7842  3 Os 2.11-2.12
B: 0.7842 0.4465 0.5535  3 Os 2.11-2.12
Os: 0.0000 0.0000 0.5000  4 B 2.11
Os: 0.5000 0.5000 0.0000  4 B 2.11
Os: 0.5000 0.5000 0.5000  4 B 2.12



Entry 3:
VASP calculation (GGA-PBE) on a relaxed structure of PBr2.

Properties
- Symmetry: Pnma
- ΔE_f (raw): 0.13 eV/atom
- Crystal system: orthorhombic
- D(E_F): 4.520 states/eV/cell

a = 10.5982 Å, b = 3.6157 Å, c = 10.9759 Å
α = 90.00°, β = 90.00°, γ = 90.00°
With the nearest neighbours (Å) after each atom.
Fractional coordinates of all 12 atoms:
P: 0.1635 0.2500 0.0715  4 Br 2.55-2.56
P: 0.3365 0.7500 0.5715  4 Br 2.55-2.56
P: 0.6635 0.2500 0.4285  4 Br 2.55-2.56
P: 0.8365 0.7500 0.9285  4 Br 2.55-2.56
Br: 0.0130 0.7500 0.1484  2 P 2.55
Br: 0.1890 0.2500 0.4886  2 P 2.56
Br: 0.3110 0.7500 0.9886  2 P 2.56
Br: 0.4870 0.2500 0.6484  2 P 2.55
Br: 0.5130 0.7500 0.3516  2 P 2.55
Br: 0.6890 0.2500 0.0114  2 P 2.56
Br: 0.8110 0.7500 0.5114  2 P 2.56
Br: 0.9870 0.2500 0.8516  2 P 2.55



Among the records above, which one has the highest D(E_F)? Ac2B4Os3



Which formula does entry 2 have? Ac2B4Os3